6
Lattice="3.8666 -1.6887 2.9731 0.5798 1.8567 4.7810 -1.0010 -3.0058 4.0749" Properties=species:S:1:pos:R:3 comment="CdOs5 (PBE, optimized geometry)" magmom_total_mub_per_fu=0.0 formation_energy_mev_per_atom=934 e_tot_ry_per_atom=-0.630 spacegroup="No. 216" e_above_lowest_polymorph_mev_per_atom=598.2 pbc="T T T"
Os 1.2926 -1.0647 4.4379
Os 2.5841 -2.1284 8.8717
Os 1.5821 -0.1376 6.8251
Os 0.7928 -2.5655 6.4726
Os 3.2233 -1.9079 5.9224
Cd 0.0000 0.0000 0.0000

10
Lattice="3.7090 0.0000 0.0000 0.0000 3.7090 0.0000 0.0000 0.0000 18.5576" Properties=species:S:1:pos:R:3 comment="Pr4SmGa5 (PBE, optimized geometry)" magmom_total_mub_per_fu=0.0 formation_energy_mev_per_atom=-550 e_tot_ry_per_atom=-0.327 spacegroup="No. 123" pbc="T T T"
Pr 0.0000 0.0000 7.4059
Ga 1.8545 1.8545 9.2788
Ga 1.8545 1.8545 13.0269
Ga 1.8545 1.8545 16.7960
Ga 1.8545 1.8545 1.7616
Pr 0.0000 0.0000 3.6579
Pr 0.0000 0.0000 11.1517
Sm 0.0000 0.0000 0.0000
Ga 1.8545 1.8545 5.5307
Pr 0.0000 0.0000 14.8997

4
Lattice="5.2015 0.0000 0.0000 2.6008 4.5046 0.0000 2.6008 1.5015 4.2470" Properties=species:S:1:pos:R:3 comment="ErLuCdHg (PBE, optimized geometry)" magmom_total_mub_per_fu=0.0 formation_energy_mev_per_atom=-387 e_tot_ry_per_atom=-0.218 spacegroup="No. 216" pbc="T T T"
Er 5.2015 3.0031 2.1235
Hg 2.6008 1.5015 1.0618
Lu 0.0000 0.0000 0.0000
Cd 7.8023 4.5046 3.1853

5
Lattice="4.0707 0.0000 0.0000 0.0000 4.0707 0.0000 0.0000 0.0000 4.0707" Properties=species:S:1:pos:R:3 comment="GeC3Cl (PBE, optimized geometry)" magmom_total_mub_per_fu=2.0 e_tot_ry_per_atom=-0.288 spacegroup="No. 221" e_above_lowest_polymorph_mev_per_atom=0.0 formation_energy_uncorrected_kj_per_mol_atoms=281 pbc="T T T"
Ge 0.0000 0.0000 0.0000
C 2.0353 0.0000 0.0000
C 0.0000 0.0000 2.0353
C 0.0000 2.0353 0.0000
Cl 2.0353 2.0353 2.0353